[1]
{"formula": "BaBrN", "functional": "PBE-GGA", "state": "optimized geometry", "energy_ry_per_atom": -0.3219, "crystal_system": "orthorhombic", "raw_formation_energy_ev_per_atom": -0.406, "lattice_angstrom": [[4.954, 0.000, 0.000], [0.000, 5.896, 0.000], [0.000, 0.000, 5.757]], "species": ["Ba", "Ba", "Br", "Br", "N", "N"], "fractional_positions": [[0.250, 0.250, 0.129], [0.750, 0.750, 0.871], [0.250, 0.750, 0.398], [0.750, 0.250, 0.602], [0.250, 0.750, 0.057], [0.750, 0.250, 0.943]]}

***

[2]
{"formula": "NaLi2Pt", "functional": "PBE-GGA", "state": "optimized geometry", "energy_ry_per_atom": -0.2214, "crystal_system": "trigonal", "formation_energy_ev_per_atom": -0.215, "e_above_lowest_polymorph_ev_per_fu": 0.29, "lattice_angstrom": [[2.170, 1.253, 4.878], [-2.170, 1.253, 4.878], [0.000, -2.505, 4.878]], "species": ["Na", "Li", "Li", "Pt"], "fractional_positions": [[0.000, 0.000, 0.000], [0.529, 0.529, 0.529], [0.798, 0.798, 0.798], [0.203, 0.203, 0.203]]}

***

[3]
{"formula": "LaCeNd4", "functional": "PBE-GGA", "state": "optimized geometry", "energy_ry_per_atom": -0.3603, "crystal_system": "monoclinic", "formation_energy_ev_per_atom": 0.087, "lattice_angstrom": [[3.542, 0.000, 0.000], [0.000, 5.801, 0.000], [-0.007, 0.000, 10.059]], "species": ["La", "Ce", "Nd", "Nd", "Nd", "Nd"], "fractional_positions": [[0.000, 0.000, 0.000], [0.999, 0.500, 0.507], [0.498, 0.000, 0.339], [0.499, 0.500, 0.835], [0.997, 0.000, 0.665], [0.997, 0.500, 0.180]]}

***

[4]
{"formula": "FeCoRh2", "functional": "PBE-GGA", "state": "optimized geometry", "energy_ry_per_atom": -0.5454, "crystal_system": "monoclinic", "formation_energy_ev_per_atom": 0.148, "lattice_angstrom": [[2.627, -4.319, 0.000], [2.627, 4.319, 0.000], [-1.157, 0.000, 2.370]], "species": ["Fe", "Co", "Rh", "Rh"], "fractional_positions": [[0.000, 0.000, 0.000], [0.500, 0.500, 0.000], [0.000, 0.500, 0.500], [0.500, 0.000, 0.500]]}

***

[5]
{"formula": "TmPaCrSe6", "functional": "PBE-GGA", "state": "optimized geometry", "energy_ry_per_atom": -0.4367, "crystal_system": "trigonal", "raw_formation_energy_ev_per_atom": -0.997, "lattice_angstrom": [[6.738, 0.000, 0.000], [-3.369, 5.836, 0.000], [0.000, 0.000, 6.054]], "species": ["Tm", "Pa", "Cr", "Se", "Se", "Se", "Se", "Se", "Se"], "fractional_positions": [[0.000, 0.000, 0.000], [0.667, 0.333, 0.500], [0.333, 0.667, 0.000], [0.026, 0.364, 0.246], [0.026, 0.662, 0.754], [0.338, 0.364, 0.754], [0.338, 0.974, 0.246], [0.636, 0.662, 0.246], [0.636, 0.974, 0.754]]}

***

[6]
{"formula": "SrSbTeI2", "functional": "PBE-GGA", "state": "optimized geometry", "energy_ry_per_atom": -0.2134, "crystal_system": "tetragonal", "raw_formation_energy_ev_per_atom": -0.495, "e_above_lowest_polymorph_ev_per_fu": 0.00, "lattice_angstrom": [[5.905, 0.000, 0.000], [0.000, 5.905, 0.000], [0.000, 0.000, 6.114]], "species": ["Sr", "Sb", "Te", "I", "I"], "fractional_positions": [[0.000, 0.000, 0.000], [0.500, 0.500, 0.500], [0.500, 0.500, 0.000], [0.000, 0.500, 0.500], [0.500, 0.000, 0.500]]}